1.
PBE-GGA YZrAg2Cl, relaxed; E = -20.152 eV for the cell shown; formation energy without anion corrections = 0.48 eV/atom
1.0
5.451 0.000 0.000
0.000 5.451 0.000
0.000 0.000 4.923
Y Zr Ag Cl
1 1 2 1
Direct
0.000 0.000 0.000 Y
0.500 0.500 0.500 Zr
0.000 0.500 0.000 Ag
0.500 0.000 0.000 Ag
0.000 0.000 0.500 Cl


2.
PBE-GGA ZnAg2Cl, relaxed; polymorph energy (0 for the lowest one) = 0.095 eV per atom; E = -9.074 eV for the cell shown; formation energy without anion corrections = -0.06 eV/atom
1.0
3.396 0.000 0.000
0.000 3.396 0.000
0.000 0.000 6.551
Zn Ag Cl
1 2 1
Direct
0.000 0.000 0.000 Zn
0.500 0.500 0.214 Ag
0.500 0.500 0.786 Ag
0.000 0.000 0.500 Cl


3.
PBE-GGA ZnAgCl, relaxed; polymorph energy (0 for the lowest one) = 0.000 eV per atom; E = -6.850 eV for the cell shown; formation energy without anion corrections = -0.29 eV/atom
1.0
3.423 0.000 0.000
-1.712 2.965 0.000
0.000 0.000 5.838
Zn Ag Cl
1 1 1
Direct
0.000 0.000 0.000 Zn
0.667 0.333 0.305 Ag
0.333 0.667 0.715 Cl


4.
PBE-GGA ZnAg2Cl6, relaxed; polymorph energy (0 for the lowest one) = 0.000 eV per atom; E = -46.312 eV for the cell shown; formation energy without anion corrections = -0.57 eV/atom
1.0
6.392 0.000 0.000
0.000 6.629 0.000
-4.378 0.000 10.997
Zn Ag Cl
2 4 12
Direct
0.000 0.000 0.000 Zn
0.000 0.500 0.500 Zn
0.338 0.119 0.833 Ag
0.338 0.381 0.333 Ag
0.662 0.619 0.667 Ag
0.662 0.881 0.167 Ag
0.077 0.206 0.407 Cl
0.077 0.294 0.907 Cl
0.252 0.682 0.433 Cl
0.252 0.818 0.933 Cl
0.386 0.077 0.226 Cl
0.386 0.423 0.726 Cl
0.614 0.577 0.274 Cl
0.614 0.923 0.774 Cl
0.748 0.182 0.067 Cl
0.748 0.318 0.567 Cl
0.923 0.706 0.093 Cl
0.923 0.794 0.593 Cl


5.
PBE-GGA Zn2Ag5Cl12, relaxed; E = -49.941 eV for the cell shown; formation energy without anion corrections = -0.58 eV/atom
1.0
7.153 -3.539 0.000
7.153 3.539 0.000
-1.850 0.000 9.244
Zn Ag Cl
2 5 12
Direct
0.238 0.762 0.000 Zn
0.762 0.238 0.000 Zn
0.000 0.000 0.500 Ag
0.292 0.292 0.267 Ag
0.356 0.356 0.663 Ag
0.644 0.644 0.337 Ag
0.708 0.708 0.733 Ag
0.049 0.049 0.850 Cl
0.083 0.566 0.839 Cl
0.132 0.616 0.475 Cl
0.384 0.868 0.525 Cl
0.434 0.917 0.161 Cl
0.454 0.454 0.147 Cl
0.546 0.546 0.853 Cl
0.566 0.083 0.839 Cl
0.616 0.132 0.475 Cl
0.868 0.384 0.525 Cl
0.917 0.434 0.161 Cl
0.951 0.951 0.150 Cl


6.
PBE-GGA ZnAg2Cl, relaxed; polymorph energy (0 for the lowest one) = 0.306 eV per atom; E = -32.916 eV for the cell shown; formation energy without anion corrections = 0.15 eV/atom
1.0
6.787 0.000 0.000
0.000 6.787 0.000
0.000 0.000 6.787
Zn Ag Cl
4 8 4
Direct
0.000 0.000 0.000 Zn
0.000 0.500 0.500 Zn
0.500 0.000 0.500 Zn
0.500 0.500 0.000 Zn
0.250 0.250 0.250 Ag
0.250 0.250 0.750 Ag
0.250 0.750 0.250 Ag
0.250 0.750 0.750 Ag
0.750 0.250 0.250 Ag
0.750 0.250 0.750 Ag
0.750 0.750 0.250 Ag
0.750 0.750 0.750 Ag
0.000 0.000 0.500 Cl
0.000 0.500 0.000 Cl
0.500 0.000 0.000 Cl
0.500 0.500 0.500 Cl